Density functional theory data (meta-GGA SCAN) for a PBEsol-optimized structure of CuSI2.

Results
The value obtained for the density is 5.399 Mg/m³. Its space group is Cm (8). The value obtained for the energy above the most stable polymorph in this dataset is 0 meV per atom. The formation energy without anion corrections comes out at -0.023 eV/atom.

a = 8.969 Å, b = 3.777 Å, c = 6.558 Å
α = 90.00°, β = 104.65°, γ = 90.00°
Fractional coordinates of all 8 atoms:
1 Cu 0.463 0.000 0.191
2 Cu 0.463 0.500 0.691
3 S 0.528 0.500 0.380
4 S 0.528 0.000 0.880
5 I 0.815 0.000 0.973
6 I 0.168 0.500 0.582
7 I 0.815 0.500 0.473
8 I 0.168 0.000 0.082